No. 1
InCoCl2: optimized geometry, PBE.

Lattice parameters (Å, degrees): 7.052 7.052 7.052 90.00 90.00 90.00
Space group Fm-3m (No. 225)
Unique sites:
In  0.000  0.000  0.000 x4
Co  0.000  0.000  0.500 x4
Cl  0.250  0.250  0.250 x8

Output
Magnetic moment: 2.06 μB/f.u.
Uncorrected energy: -0.1186 hartree per atom

---

No. 2
InCoCl2: optimized geometry, PBE.

Lattice parameters (Å, degrees): 3.4844 3.4844 25.6483 90.00 90.00 120.00
Space group R3m (No. 160, hexagonal axes)
Unique sites:
In  0.0000  0.0000  0.0000 x3
Co  0.0000  0.0000  0.2591 x3
Cl  0.0000  0.0000  0.5459 x3
Cl  0.0000  0.0000  0.7386 x3

Output
Magnetic moment: 2.00 μB/f.u.
Uncorrected energy: -0.1404 hartree per atom

---

No. 3
In2CoCl: optimized geometry, PBE.

Lattice parameters (Å, degrees): 3.565 3.565 7.713 90.00 90.00 90.00
Space group P4mm (No. 99)
Unique sites:
In  0.000  0.000  0.000 x1
In  0.500  0.500  0.397 x1
Co  0.500  0.500  0.071 x1
Cl  0.000  0.000  0.604 x1

Output
Magnetic moment: 1.26 μB/f.u.
Uncorrected energy: -0.1335 hartree per atom